No. 1
## CaTaPt2 (GGA-PBE)

Data for a geometry-optimized CaTaPt2 structure.

Cell: 2.8957 5.0149 5.0149 Å, 90.00 90.00 90.00°
Fractional positions:
Ta: 0.5000 0.5000 0.0000
Pt: 0.0000 0.0000 0.0000
Pt: 0.0000 0.5000 0.5000
Ca: 0.5000 0.0000 0.5000

Computed properties:
As for the symmetry: P4/mmm. Its energy of formation is -0.634 eV per atom. The energy is -28.47 eV for the cell shown. The calculation puts the energy above the most stable polymorph in this dataset at 0.035 eV/atom.

---

No. 2
## Ca2TaPt (GGA-PBE)

Data for a geometry-optimized Ca2TaPt structure.

Cell: 3.1183 3.1185 9.2588 Å, 90.00 90.00 90.10°
Fractional positions:
Ta: 0.5000 0.5000 0.7500
Ca: 0.0000 0.0000 0.4657
Ca: 0.0000 0.0000 0.0343
Pt: 0.5000 0.5000 0.2500

Computed properties:
As for the symmetry: Cmmm. Its energy of formation is 0.067 eV per atom. The energy is -21.63 eV for the cell shown. The calculation puts the energy above the most stable polymorph in this dataset at 0.209 eV/atom.